No. 1
An optimized crystal structure of Tc2Rh, computed with PBE.

Unit cell a=2.762 b=7.300 c=4.355 alpha=90.00 beta=90.00 gamma=79.09
Fractional coordinates of all 6 atoms:
Rh: 0.001 0.999 0.000
Rh: 0.555 0.890 0.500
Tc: 0.666 0.668 0.000
Tc: 0.332 0.336 0.000
Tc: 0.224 0.553 0.500
Tc: 0.889 0.221 0.500

- formation enthalpy at 0 K (meV per atom) = -93.8
- energy above the most stable polymorph in this dataset (meV/atom) = 24.8
- V (Å³/cell) = 86
- magnetic moment (μB per formula unit) = 0.0

No. 2
An optimized crystal structure of HfNiAsH, computed with PBE.

Unit cell a=3.812 b=3.812 c=6.649 alpha=90.00 beta=90.00 gamma=90.00
Fractional coordinates of all 8 atoms:
Hf: 0.500 0.000 0.651
Hf: 0.000 0.500 0.349
Ni: 0.500 0.500 0.000
Ni: 0.000 0.000 0.000
As: 0.000 0.500 0.789
As: 0.500 0.000 0.211
H: 0.000 0.000 0.500
H: 0.500 0.500 0.500

- electronic total energy (eV per atom) = -6.50
- V (Å³/cell) = 97
- magnetic moment (μB per formula unit) = 0.0

No. 3
An optimized crystal structure of Tb3Sn2Rh4, computed with PBE.

Unit cell a=4.439 b=5.342 c=8.859 alpha=94.16 beta=90.00 gamma=114.55
Fractional coordinates of all 9 atoms:
Tb: 0.372 0.744 0.609
Tb: 0.000 0.000 0.000
Tb: 0.628 0.256 0.391
Sn: 0.323 0.647 0.215
Sn: 0.677 0.353 0.785
Rh: 0.710 0.419 0.090
Rh: 0.085 0.170 0.630
Rh: 0.915 0.830 0.370
Rh: 0.290 0.581 0.910

- formation enthalpy at 0 K (meV per atom) = -780.1
- V (Å³/cell) = 190
- magnetic moment (μB per formula unit) = 0.0

No. 4
An optimized crystal structure of Sc2FeS, computed with PBE.

Unit cell a=6.697 b=6.697 c=5.730 alpha=54.24 beta=54.24 gamma=90.00
Fractional coordinates of all 8 atoms:
Sc: 0.632 0.125 0.250
Sc: 0.118 0.625 0.250
Sc: 0.375 0.368 0.750
Sc: 0.875 0.882 0.750
S: 0.500 0.500 0.000
S: 0.250 0.750 0.500
Fe: 0.000 0.000 0.000
Fe: 0.750 0.250 0.500

- formation energy without anion corrections (eV/atom) = -0.272
- V (Å³/cell) = 145
- magnetic moment (μB per formula unit) = 0.0

No. 5
An optimized crystal structure of Al2InCl, computed with PBE.

Unit cell a=6.006 b=6.006 c=7.863 alpha=67.55 beta=67.55 gamma=90.00
Fractional coordinates of all 8 atoms:
Cl: 0.500 0.500 0.000
Cl: 0.250 0.750 0.500
Al: 0.635 0.125 0.250
Al: 0.115 0.625 0.250
Al: 0.375 0.365 0.750
Al: 0.875 0.885 0.750
In: 0.000 0.000 0.000
In: 0.750 0.250 0.500

- energy above the most stable polymorph in this dataset (meV/atom) = 333.4
- formation energy without anion corrections (eV/atom) = 0.121
- V (Å³/cell) = 239
- magnetic moment (μB per formula unit) = 0.0

No. 6
An optimized crystal structure of MgHg2Rh, computed with PBE.

Unit cell a=5.215 b=5.215 c=5.215 alpha=133.35 beta=133.32 gamma=68.13
Fractional coordinates of all 4 atoms:
Hg: 0.000 0.000 0.000
Hg: 0.500 0.500 0.000
Mg: 0.250 0.750 0.500
Rh: 0.750 0.250 0.500

- formation enthalpy at 0 K (meV per atom) = -115.0
- V (Å³/cell) = 74
- magnetic moment (μB per formula unit) = 0.0

No. 7
An optimized crystal structure of KNa2TlPd, computed with PBE.

Unit cell a=5.632 b=5.632 c=5.330 alpha=90.00 beta=90.00 gamma=90.00
Fractional coordinates of all 5 atoms:
Na: 0.000 0.500 0.000
Na: 0.500 0.000 0.000
Tl: 0.000 0.000 0.500
K: 0.500 0.500 0.500
Pd: 0.000 0.000 0.000

- formation enthalpy at 0 K (meV per atom) = -110.5
- V (Å³/cell) = 169
- magnetic moment (μB per formula unit) = 0.0

No. 8
An optimized crystal structure of VZnPd2, computed with PBE.

Unit cell a=2.879 b=4.534 c=4.534 alpha=90.00 beta=90.00 gamma=90.00
Each line ends with the local moment (μB).
Fractional coordinates of all 4 atoms:
Zn: 0.500 0.000 0.000  -0.01
Pd: 0.000 0.000 0.500  0.08
Pd: 0.000 0.500 0.000  0.08
V: 0.500 0.500 0.500  1.76

- formation enthalpy at 0 K (meV per atom) = -236.4
- V (Å³/cell) = 59
- magnetic moment (μB per formula unit) = 2.2

What is the formula in the eighth record?
VZnPd2

Look up the magnetic moment of the fourth one.
0.0 μB per formula unit